[1]
A plane-wave DFT calculation with PBEsol was carried out for a relaxed Mg2HgSe crystal.

abc: 3.7298 3.7298 21.7986
angles: 90.00 90.00 120.00
Last column: nearest neighbours and their distance in Å.
Space group R-3m (No. 166, hexagonal axes)
Asymmetric unit:
Mg 0.0000 0.0000 0.2407 x6  3 Se 2.69, 3 Hg 2.95
Hg 0.0000 0.0000 0.0000 x3  6 Mg 2.95
Se 0.0000 0.0000 0.5000 x3  6 Mg 2.69

## Properties
The relative energy among the computed polymorphs comes out at 0 meV/atom. The calculation puts the uncorrected formation energy at -0.592 eV per atom.

=====

[2]
A plane-wave DFT calculation with PBEsol was carried out for a relaxed GeSbN2 crystal.

abc: 3.1455 3.1455 19.8403
angles: 90.00 90.00 120.00
Last column: nearest neighbours and their distance in Å.
Space group R-3m (No. 166, hexagonal axes)
Asymmetric unit:
Ge 0.0000 0.0000 0.0000 x3  2 N 2.19
Sb 0.0000 0.0000 0.5000 x3  6 N 2.13
N 0.0000 0.0000 0.1104 x6  3 Sb 2.13, 1 Ge 2.19

## Properties
The calculation puts the uncorrected formation energy at 0.418 eV per atom.

=====

[3]
A plane-wave DFT calculation with PBEsol was carried out for a relaxed Sr2TlSb crystal.

abc: 4.1760 4.1760 7.3520
angles: 90.00 90.00 90.00
Last column: nearest neighbours and their distance in Å.
Space group P4/mmm (No. 123)
Asymmetric unit:
Sr 0.0000 0.0000 0.2333 x2  4 Sb 3.41, 1 Sr 3.43, 4 Tl 3.54
Tl 0.5000 0.5000 0.5000 x1  8 Sr 3.54, 2 Sb 3.68
Sb 0.5000 0.5000 0.0000 x1  8 Sr 3.41, 2 Tl 3.68

## Properties
The calculation puts the uncorrected formation energy at -0.707 eV per atom.

=====

[4]
A plane-wave DFT calculation with PBEsol was carried out for a relaxed Zr2Co4P3 crystal.

abc: 11.9562 11.9562 3.6222
angles: 90.00 90.00 120.00
Last column: nearest neighbours and their distance in Å.
Space group P-62m (No. 189)
Asymmetric unit:
Zr 0.0000 0.4433 0.0000 x3  5 P 2.52-2.62, 8 Co 2.67-2.78
Zr 0.0000 0.8232 0.5000 x3  6 P 2.71-2.78, 8 Co 2.78-2.95
Zr 0.3333 0.6667 0.0000 x2  6 P 2.76, 9 Co 2.98-3.05
Co 0.0000 0.0000 0.0000 x1  3 P 2.10
Co 0.0000 0.2777 0.5000 x3  4 P 2.18-2.28
Co 0.1254 0.6454 0.5000 x6  4 P 2.17-2.39
Co 0.1791 0.3723 0.0000 x6  4 P 2.17-2.25
P 0.0000 0.1759 0.0000 x3  5 Co 2.10-2.25
P 0.0000 0.6540 0.0000 x3  6 Co 2.17-2.39
P 0.1738 0.4817 0.5000 x6  5 Co 2.17-2.30

## Properties
As for the formation energy: -1135 meV/atom.

=====

[5]
A plane-wave DFT calculation with PBEsol was carried out for a relaxed InCoCl3 crystal.

abc: 4.7159 4.7159 4.7159
angles: 90.00 90.00 90.00
Last column: nearest neighbours and their distance in Å.
Space group Pm-3m (No. 221)
Asymmetric unit:
In 0.0000 0.0000 0.0000 x1  12 Cl 3.33
Co 0.5000 0.5000 0.5000 x1  6 Cl 2.36
Cl 0.0000 0.5000 0.5000 x3  2 Co 2.36

## Properties
The calculation puts the uncorrected formation energy at -0.537 eV per atom.

=====

[6]
A plane-wave DFT calculation with PBEsol was carried out for a relaxed TaRe2Hg crystal.

abc: 3.9784 3.9784 8.1289
angles: 90.00 90.00 90.00
Last column: nearest neighbours and their distance in Å.
Space group I-4m2 (No. 119)
Asymmetric unit:
Ta 0.0000 0.0000 0.0000 x2  8 Re 2.81-2.84, 4 Hg 2.84
Re 0.0000 0.0000 0.5000 x2  4 Ta 2.81, 4 Hg 2.84, 4 Re 2.84
Re 0.0000 0.5000 0.7500 x2  4 Hg 2.81, 4 Ta 2.84, 4 Re 2.84
Hg 0.0000 0.5000 0.2500 x2  8 Re 2.81-2.84, 4 Ta 2.84

## Properties
As for the formation energy: 380 meV/atom.

=====

[7]
A plane-wave DFT calculation with PBEsol was carried out for a relaxed TbCoSi crystal.

abc: 6.9443 4.1745 6.5991
angles: 90.00 90.00 90.00
Last column: nearest neighbours and their distance in Å.
Space group Pnma (No. 62)
Asymmetric unit:
Tb 0.0230 0.2500 0.1793 x4  4 Co 2.79-2.86, 6 Si 2.91-3.08
Co 0.1390 0.7500 0.4320 x4  4 Si 2.31-2.43
Si 0.1911 0.2500 0.6118 x4  4 Co 2.31-2.43

## Properties
The calculation puts the uncorrected formation energy at -0.778 eV per atom.

=====

[8]
A plane-wave DFT calculation with PBEsol was carried out for a relaxed BaTeN3 crystal.

abc: 4.1473 4.1473 4.1473
angles: 90.00 90.00 90.00
Last column: nearest neighbours and their distance in Å.
Space group Pm-3m (No. 221)
Asymmetric unit:
Ba 0.0000 0.0000 0.0000 x1  12 N 2.93
Te 0.5000 0.5000 0.5000 x1  6 N 2.07
N 0.0000 0.5000 0.5000 x3  2 Te 2.07

## Properties
The calculation puts the uncorrected formation energy at 0.439 eV per atom.